Record 1
NaSmFeS3 after structural relaxation, computed with GGA-PBE.

CIF file:
```
data_NaSmFeS3
_space_group_name_H-M_alt 'P 1'
_space_group_IT_number 1
_cell_length_a 10.9192
_cell_length_b 4.0229
_cell_length_c 11.4899
_cell_angle_alpha 90.00
_cell_angle_beta 90.00
_cell_angle_gamma 90.00
loop_
_space_group_symop_operation_xyz
'x,y,z'
loop_
_atom_site_label
_atom_site_fract_x
_atom_site_fract_y
_atom_site_fract_z
S1 0.2169 0.5000 0.1915
S2 0.3867 0.5000 0.9410
S3 0.1133 0.0000 0.4410
S4 0.0551 0.5000 0.8489
S5 0.2831 0.0000 0.6915
S6 0.7831 0.0000 0.8085
S7 0.4449 0.0000 0.3489
S8 0.8867 0.5000 0.5590
S9 0.7169 0.5000 0.3085
S10 0.6133 0.0000 0.0590
S11 0.9449 0.0000 0.1511
S12 0.5551 0.5000 0.6511
Sm1 0.5168 0.0000 0.8219
Sm2 0.0168 0.0000 0.6781
Sm3 0.9832 0.5000 0.3219
Sm4 0.4832 0.5000 0.1781
Na1 0.6642 0.0000 0.4926
Na2 0.8358 0.5000 0.9926
Na3 0.1642 0.0000 0.0074
Na4 0.3358 0.5000 0.5074
Fe1 0.2476 0.0000 0.2891
Fe2 0.7524 0.5000 0.7109
Fe3 0.7476 0.0000 0.2109
Fe4 0.2524 0.5000 0.7891
```

The space-group type is Pnma, No. 62. Its excess energy over the best structure of this formula in the dataset is 6.6 meV/atom.

=====

Record 2
NaSmFeS3 after structural relaxation, computed with GGA-PBE.

CIF file:
```
data_NaSmFeS3
_space_group_name_H-M_alt 'P 1'
_space_group_IT_number 1
_cell_length_a 8.0579
_cell_length_b 3.9373
_cell_length_c 9.2172
_cell_angle_alpha 90.00
_cell_angle_beta 101.79
_cell_angle_gamma 90.00
loop_
_space_group_symop_operation_xyz
'x,y,z'
loop_
_atom_site_label
_atom_site_fract_x
_atom_site_fract_y
_atom_site_fract_z
Fe1 0.5729 0.2500 0.5888
Fe2 0.4271 0.7500 0.4112
Na1 0.7026 0.2500 0.2344
Na2 0.2974 0.7500 0.7656
Sm1 0.1717 0.2500 0.1517
Sm2 0.8283 0.7500 0.8483
S1 0.4207 0.7500 0.1626
S2 0.7121 0.7500 0.5296
S3 0.9299 0.7500 0.1556
S4 0.5793 0.2500 0.8374
S5 0.0701 0.2500 0.8444
S6 0.2879 0.2500 0.4704
```

The space-group type is P2_1/m, No. 11. Its excess energy over the best structure of this formula in the dataset is 0.0 meV/atom.

=====

Record 3
NaTbFeS3 after structural relaxation, computed with GGA-PBE.

CIF file:
```
data_NaTbFeS3
_space_group_name_H-M_alt 'P 1'
_space_group_IT_number 1
_cell_length_a 7.8975
_cell_length_b 3.8797
_cell_length_c 9.3204
_cell_angle_alpha 90.00
_cell_angle_beta 103.42
_cell_angle_gamma 90.00
loop_
_space_group_symop_operation_xyz
'x,y,z'
loop_
_atom_site_label
_atom_site_fract_x
_atom_site_fract_y
_atom_site_fract_z
S1 0.7806 0.2500 0.4609
S2 0.5640 0.2500 0.8473
S3 0.4360 0.7500 0.1527
S4 0.9272 0.7500 0.1656
S5 0.2194 0.7500 0.5391
S6 0.0728 0.2500 0.8344
Na1 0.7796 0.7500 0.7481
Na2 0.2204 0.2500 0.2519
Fe1 0.0716 0.2500 0.5900
Fe2 0.9284 0.7500 0.4100
Tb1 0.6773 0.2500 0.1463
Tb2 0.3227 0.7500 0.8537
```

The space-group type is P2_1/m, No. 11. Its excess energy over the best structure of this formula in the dataset is 0.0 meV/atom.

=====

Record 4
NaTbFeS3 after structural relaxation, computed with GGA-PBE.

CIF file:
```
data_NaTbFeS3
_space_group_name_H-M_alt 'P 1'
_space_group_IT_number 1
_cell_length_a 3.9939
_cell_length_b 10.8050
_cell_length_c 11.4046
_cell_angle_alpha 90.00
_cell_angle_beta 90.00
_cell_angle_gamma 90.00
loop_
_space_group_symop_operation_xyz
'x,y,z'
loop_
_atom_site_label
_atom_site_fract_x
_atom_site_fract_y
_atom_site_fract_z
Tb1 0.7500 0.5173 0.8214
Tb2 0.2500 0.4827 0.1786
Tb3 0.2500 0.9827 0.3214
Tb4 0.7500 0.0173 0.6786
S1 0.2500 0.7167 0.3108
S2 0.2500 0.3906 0.9396
S3 0.7500 0.6094 0.0604
S4 0.7500 0.2833 0.6892
S5 0.7500 0.7833 0.8108
S6 0.2500 0.5540 0.6541
S7 0.2500 0.2167 0.1892
S8 0.2500 0.8906 0.5604
S9 0.7500 0.4460 0.3459
S10 0.7500 0.1094 0.4396
S11 0.2500 0.0540 0.8459
S12 0.7500 0.9460 0.1541
Fe1 0.2500 0.2536 0.7877
Fe2 0.7500 0.2464 0.2877
Fe3 0.7500 0.7464 0.2123
Fe4 0.2500 0.7536 0.7123
Na1 0.2500 0.8350 0.9950
Na2 0.7500 0.1650 0.0050
Na3 0.7500 0.6650 0.4950
Na4 0.2500 0.3350 0.5050
```

The space-group type is Pnma, No. 62. Its excess energy over the best structure of this formula in the dataset is 27.4 meV/atom.

=====

Record 5
NaTbFeS3 after structural relaxation, computed with GGA-PBE.

CIF file:
```
data_NaTbFeS3
_space_group_name_H-M_alt 'P 1'
_space_group_IT_number 1
_cell_length_a 6.7030
_cell_length_b 6.7030
_cell_length_c 10.4963
_cell_angle_alpha 90.00
_cell_angle_beta 90.00
_cell_angle_gamma 34.01
loop_
_space_group_symop_operation_xyz
'x,y,z'
loop_
_atom_site_label
_atom_site_fract_x
_atom_site_fract_y
_atom_site_fract_z
S1 0.6347 0.6347 0.9222
S2 0.9235 0.9235 0.7500
S3 0.3653 0.3653 0.0778
S4 0.6347 0.6347 0.5778
S5 0.3653 0.3653 0.4222
S6 0.0765 0.0765 0.2500
Tb1 0.0000 0.0000 0.0000
Tb2 0.0000 0.0000 0.5000
Fe1 0.5266 0.5266 0.7500
Fe2 0.4734 0.4734 0.2500
Na1 0.2459 0.2459 0.7500
Na2 0.7541 0.7541 0.2500
```

The space-group type is Cmcm, No. 63. Its excess energy over the best structure of this formula in the dataset is 24.3 meV/atom.

=====

Record 6
NaTmFeS3 after structural relaxation, computed with GGA-PBE.

CIF file:
```
data_NaTmFeS3
_space_group_name_H-M_alt 'P 1'
_space_group_IT_number 1
_cell_length_a 6.7167
_cell_length_b 6.7167
_cell_length_c 10.2841
_cell_angle_alpha 90.00
_cell_angle_beta 90.00
_cell_angle_gamma 33.43
loop_
_space_group_symop_operation_xyz
'x,y,z'
loop_
_atom_site_label
_atom_site_fract_x
_atom_site_fract_y
_atom_site_fract_z
S1 0.3670 0.3670 0.4276
S2 0.0760 0.0760 0.2500
S3 0.3670 0.3670 0.0724
S4 0.6329 0.6329 0.5724
S5 0.9240 0.9240 0.7500
S6 0.6329 0.6329 0.9276
Fe1 0.4722 0.4722 0.2500
Fe2 0.5278 0.5278 0.7500
Tm1 0.0000 0.0000 0.0000
Tm2 0.0000 0.0000 0.5000
Na1 0.2468 0.2468 0.7500
Na2 0.7532 0.7532 0.2500
```

The space-group type is Cmcm, No. 63. Its excess energy over the best structure of this formula in the dataset is 30.8 meV/atom.